(1)
Here is a relaxed structure of RbAg6Cl8 from Alexandria via LeMat-Bulk. Energies are from PBE.

Computed properties:
Symmetry   No. 148
Formation energy without anion corrections   -0.626 eV/atom
Final energy   -42.231 eV for the cell shown

a b c (Å): 7.384 7.384 7.384
angles (deg): 94.45 94.45 94.45
Atoms (fractional coordinates):
Rb 0.000 0.000 0.000
Ag 0.129 0.581 0.377
Ag 0.377 0.129 0.581
Ag 0.419 0.623 0.871
Ag 0.581 0.377 0.129
Ag 0.623 0.871 0.419
Ag 0.871 0.419 0.623
Cl 0.178 0.348 0.778
Cl 0.222 0.822 0.652
Cl 0.294 0.294 0.294
Cl 0.348 0.778 0.178
Cl 0.652 0.222 0.822
Cl 0.706 0.706 0.706
Cl 0.778 0.178 0.348
Cl 0.822 0.652 0.222

(2)
Here is a relaxed structure of Rb2AgCl from Alexandria via LeMat-Bulk. Energies are from PBE.

Computed properties:
Symmetry   No. 166
Energy relative to the lowest polymorph listed for this composition   0.0 meV per atom
Formation energy without anion corrections   -0.887 eV/atom
Final energy   -30.537 eV for the cell shown

a b c (Å): 4.873 4.873 25.036
angles (deg): 90.00 90.00 120.00
Atoms (fractional coordinates):
Rb 0.000 0.000 0.242
Rb 0.000 0.000 0.758
Rb 0.333 0.667 0.425
Rb 0.333 0.667 0.908
Rb 0.667 0.333 0.092
Rb 0.667 0.333 0.575
Ag 0.000 0.000 0.000
Ag 0.333 0.667 0.667
Ag 0.667 0.333 0.333
Cl 0.000 0.000 0.500
Cl 0.333 0.667 0.167
Cl 0.667 0.333 0.833

(3)
Here is a relaxed structure of Rb12Ag3Cl5 from Alexandria via LeMat-Bulk. Energies are from PBE.

Computed properties:
Symmetry   No. 230
Formation energy without anion corrections   -0.850 eV/atom
Final energy   -185.561 eV for the cell shown

a b c (Å): 17.729 17.729 17.729
angles (deg): 109.47 109.47 109.47
Atoms (fractional coordinates):
Rb 0.038 0.212 0.128
Rb 0.038 0.326 0.909
Rb 0.084 0.712 0.674
Rb 0.084 0.872 0.409
Rb 0.091 0.628 0.416
Rb 0.091 0.962 0.674
Rb 0.128 0.038 0.212
Rb 0.128 0.591 0.916
Rb 0.174 0.212 0.584
Rb 0.174 0.462 0.591
Rb 0.212 0.128 0.038
Rb 0.212 0.584 0.174
Rb 0.288 0.326 0.916
Rb 0.288 0.462 0.372
Rb 0.326 0.909 0.038
Rb 0.326 0.916 0.288
Rb 0.372 0.288 0.462
Rb 0.372 0.584 0.909
Rb 0.409 0.084 0.872
Rb 0.409 0.826 0.538
Rb 0.416 0.091 0.628
Rb 0.416 0.826 0.788
Rb 0.462 0.372 0.288
Rb 0.462 0.591 0.174
Rb 0.538 0.409 0.826
Rb 0.538 0.628 0.712
Rb 0.584 0.174 0.212
Rb 0.584 0.909 0.372
Rb 0.591 0.174 0.462
Rb 0.591 0.916 0.128
Rb 0.628 0.416 0.091
Rb 0.628 0.712 0.538
Rb 0.674 0.084 0.712
Rb 0.674 0.091 0.962
Rb 0.712 0.538 0.628
Rb 0.712 0.674 0.084
Rb 0.788 0.416 0.826
Rb 0.788 0.872 0.962
Rb 0.826 0.538 0.409
Rb 0.826 0.788 0.416
Rb 0.872 0.409 0.084
Rb 0.872 0.962 0.788
Rb 0.909 0.038 0.326
Rb 0.909 0.372 0.584
Rb 0.916 0.128 0.591
Rb 0.916 0.288 0.326
Rb 0.962 0.674 0.091
Rb 0.962 0.788 0.872
Ag 0.125 0.250 0.375
Ag 0.125 0.375 0.750
Ag 0.250 0.375 0.125
Ag 0.250 0.875 0.625
Ag 0.375 0.125 0.250
Ag 0.375 0.750 0.125
Ag 0.625 0.250 0.875
Ag 0.625 0.875 0.750
Ag 0.750 0.125 0.375
Ag 0.750 0.625 0.875
Ag 0.875 0.625 0.250
Ag 0.875 0.750 0.625
Cl 0.000 0.000 0.000
Cl 0.000 0.000 0.500
Cl 0.000 0.500 0.000
Cl 0.000 0.500 0.500
Cl 0.125 0.750 0.875
Cl 0.125 0.875 0.250
Cl 0.250 0.125 0.875
Cl 0.250 0.625 0.375
Cl 0.375 0.250 0.625
Cl 0.375 0.625 0.750
Cl 0.500 0.000 0.000
Cl 0.500 0.000 0.500
Cl 0.500 0.500 0.000
Cl 0.500 0.500 0.500
Cl 0.625 0.375 0.250
Cl 0.625 0.750 0.375
Cl 0.750 0.375 0.625
Cl 0.750 0.875 0.125
Cl 0.875 0.125 0.750
Cl 0.875 0.250 0.125

(4)
Here is a relaxed structure of Rb3Ag2Cl9 from Alexandria via LeMat-Bulk. Energies are from PBE.

Computed properties:
Symmetry   No. 164
Formation energy without anion corrections   -0.975 eV/atom
Final energy   -38.882 eV for the cell shown

a b c (Å): 7.184 7.184 8.910
angles (deg): 90.00 90.00 120.00
Atoms (fractional coordinates):
Rb 0.000 0.000 0.000
Rb 0.333 0.667 0.354
Rb 0.667 0.333 0.646
Ag 0.333 0.667 0.833
Ag 0.667 0.333 0.167
Cl 0.000 0.500 0.000
Cl 0.168 0.337 0.679
Cl 0.168 0.832 0.679
Cl 0.337 0.168 0.321
Cl 0.500 0.000 0.000
Cl 0.500 0.500 0.000
Cl 0.663 0.832 0.679
Cl 0.832 0.168 0.321
Cl 0.832 0.663 0.321

(5)
Here is a relaxed structure of Rb3Ag4Cl9 from Alexandria via LeMat-Bulk. Energies are from PBE.

Computed properties:
Symmetry   No. 155
Formation energy without anion corrections   -0.991 eV/atom
Final energy   -46.785 eV for the cell shown

a b c (Å): 10.769 10.769 10.769
angles (deg): 39.17 39.17 39.17
Atoms (fractional coordinates):
Rb 0.000 0.000 0.000
Rb 0.421 0.421 0.421
Rb 0.579 0.579 0.579
Ag 0.164 0.164 0.164
Ag 0.280 0.280 0.280
Ag 0.720 0.720 0.720
Ag 0.836 0.836 0.836
Cl 0.000 0.492 0.508
Cl 0.049 0.560 0.069
Cl 0.069 0.049 0.560
Cl 0.440 0.951 0.931
Cl 0.492 0.508 0.000
Cl 0.508 0.000 0.492
Cl 0.560 0.069 0.049
Cl 0.931 0.440 0.951
Cl 0.951 0.931 0.440

(6)
Here is a relaxed structure of RbAgCl4 from Alexandria via LeMat-Bulk. Energies are from PBE.

Computed properties:
Symmetry   No. 137
Formation energy without anion corrections   -0.675 eV/atom
Final energy   -30.507 eV for the cell shown

a b c (Å): 6.495 6.495 9.310
angles (deg): 90.00 90.00 90.00
Atoms (fractional coordinates):
Rb 0.250 0.750 0.250
Rb 0.750 0.250 0.750
Ag 0.250 0.750 0.750
Ag 0.750 0.250 0.250
Cl 0.038 0.250 0.084
Cl 0.250 0.038 0.584
Cl 0.250 0.462 0.584
Cl 0.462 0.250 0.084
Cl 0.538 0.750 0.916
Cl 0.750 0.538 0.416
Cl 0.750 0.962 0.416
Cl 0.962 0.750 0.916

(7)
Here is a relaxed structure of RbAg4Cl12 from Alexandria via LeMat-Bulk. Energies are from PBE.

Computed properties:
Symmetry   No. 204
Formation energy without anion corrections   -0.378 eV/atom
Final energy   -40.965 eV for the cell shown

a b c (Å): 8.386 8.386 8.386
angles (deg): 109.47 109.47 109.47
Atoms (fractional coordinates):
Rb 0.000 0.000 0.000
Ag 0.000 0.000 0.500
Ag 0.000 0.500 0.000
Ag 0.500 0.000 0.000
Ag 0.500 0.500 0.500
Cl 0.103 0.298 0.805
Cl 0.195 0.493 0.298
Cl 0.195 0.897 0.702
Cl 0.298 0.195 0.493
Cl 0.298 0.805 0.103
Cl 0.493 0.298 0.195
Cl 0.507 0.702 0.805
Cl 0.702 0.195 0.897
Cl 0.702 0.805 0.507
Cl 0.805 0.103 0.298
Cl 0.805 0.507 0.702
Cl 0.897 0.702 0.195

(8)
Here is a relaxed structure of RbAgCl2 from Alexandria via LeMat-Bulk. Energies are from PBE.

Computed properties:
Symmetry   No. 123
Formation energy without anion corrections   -0.971 eV/atom
Final energy   -11.397 eV for the cell shown

a b c (Å): 5.291 5.291 3.690
angles (deg): 90.00 90.00 90.00
Atoms (fractional coordinates):
Rb 0.000 0.000 0.000
Ag 0.500 0.500 0.000
Cl 0.000 0.500 0.500
Cl 0.500 0.000 0.500